CdInPb5 after structural relaxation, computed with PBE.

Cell: 5.9192 9.5925 7.4492 Å, 130.08 113.41 90.00°
Closest atoms and distances in Å follow each position.
Positions (direct):
Cd 0.8990 0.5000 0.0000  6 Pb 2.94-2.96
In 0.6421 0.0000 0.0000  4 Pb 3.25-3.26
Pb 0.4405 0.2163 0.4325  1 Cd 2.95, 2 Pb 3.07, 1 In 3.25
Pb 0.3985 0.5000 0.0000  2 Cd 2.96
Pb 0.0080 0.7837 0.5675  1 Cd 2.95, 2 Pb 3.07, 1 In 3.25
Pb 0.0712 0.7876 0.0000  1 Cd 2.94, 2 Pb 3.07, 1 In 3.26
Pb 0.0712 0.2124 0.0000  1 Cd 2.94, 2 Pb 3.07, 1 In 3.26

## Properties
Calculated volume, Å³/f.u.: 277
Symmetry: No. 44
DFT total energy, eV for the cell shown: -19.994
Polymorph energy (0 for the lowest one), eV per atom: 0.243

CaF after structural relaxation, computed with PBE.

Cell: 9.1221 9.1221 3.9299 Å, 90.00 90.00 120.00°
Closest atoms and distances in Å follow each position.
Positions (direct):
Ca 0.8743 0.2986 0.2500  4 F 2.33-2.44
Ca 0.5756 0.8743 0.7500  4 F 2.33-2.44
Ca 0.7014 0.5756 0.2500  4 F 2.33-2.44
Ca 0.1257 0.7014 0.7500  4 F 2.33-2.44
Ca 0.4244 0.1257 0.2500  4 F 2.33-2.44
Ca 0.2986 0.4244 0.7500  4 F 2.33-2.44
F 0.6320 0.0322 0.2500  4 Ca 2.33-2.44
F 0.5998 0.6320 0.7500  4 Ca 2.33-2.44
F 0.9678 0.5998 0.2500  4 Ca 2.33-2.44
F 0.3680 0.9678 0.7500  4 Ca 2.33-2.44
F 0.4002 0.3680 0.2500  4 Ca 2.33-2.44
F 0.0322 0.4002 0.7500  4 Ca 2.33-2.44

## Properties
Calculated volume, Å³/f.u.: 47
Symmetry: No. 176
DFT total energy, eV for the cell shown: -56.014
Energy relative to the elements, uncorrected, eV per atom: -2.7314
Polymorph energy (0 for the lowest one), eV per atom: 0.176

Mg2BePb after structural relaxation, computed with PBE.

Cell: 5.0940 5.2874 8.8728 Å, 53.41 73.22 61.15°
Closest atoms and distances in Å follow each position.
Positions (direct):
Pb 0.8095 0.2441 0.1089  2 Be 2.71-2.72, 1 Mg 2.94
Pb 0.3130 0.8621 0.4894  2 Be 2.71-2.72, 1 Mg 2.94
Be 0.9607 0.7551 0.7992  2 Be 2.54-2.55, 2 Pb 2.72, 6 Mg 2.72-2.83
Be 0.4598 0.7557 0.7991  2 Be 2.54-2.55, 2 Pb 2.71, 6 Mg 2.72-2.83
Mg 0.4651 0.1234 0.9190  4 Be 2.73-2.83
Mg 0.1265 0.5990 0.1200  2 Be 2.72-2.73, 1 Pb 2.94
Mg 0.9664 0.3620 0.6800  4 Be 2.73-2.83
Mg 0.6297 0.2388 0.4787  2 Be 2.72, 1 Pb 2.94

## Properties
Calculated volume, Å³/f.u.: 84
Symmetry: No. 1
DFT total energy, eV for the cell shown: -20.235
Polymorph energy (0 for the lowest one), eV per atom: 0.000

CeSc5Sb4 after structural relaxation, computed with PBE.

Cell: 5.6940 9.7004 10.0721 Å, 90.00 90.00 90.00°
Closest atoms and distances in Å follow each position.
Positions (direct):
Ce 0.0002 0.0000 0.0000  6 Sb 3.34-3.40
Ce 0.9998 0.5000 0.5000  6 Sb 3.34-3.40
Sc 0.2490 0.7500 0.7501  2 Sc 2.84-2.86, 4 Sb 2.93-2.95
Sc 0.2490 0.2500 0.7501  2 Sc 2.84-2.86, 4 Sb 2.93-2.95
Sc 0.5011 0.5000 0.0000  6 Sb 2.99-3.32
Sc 0.2490 0.7500 0.2499  2 Sc 2.84-2.86, 4 Sb 2.93-2.95
Sc 0.2490 0.2500 0.2499  2 Sc 2.84-2.86, 4 Sb 2.93-2.95
Sc 0.7510 0.7500 0.2501  2 Sc 2.84-2.86, 4 Sb 2.93-2.95
Sc 0.7510 0.2500 0.2501  2 Sc 2.84-2.86, 4 Sb 2.93-2.95
Sc 0.4989 0.0000 0.5000  6 Sb 2.99-3.32
Sc 0.7510 0.2500 0.7499  2 Sc 2.84-2.86, 4 Sb 2.93-2.95
Sc 0.7510 0.7500 0.7499  2 Sc 2.84-2.86, 4 Sb 2.93-2.95
Sb 0.0000 0.0000 0.6687  4 Sc 2.93
Sb 0.5004 0.8081 0.0000  5 Sc 2.95-2.99
Sb 0.5004 0.1919 0.0000  5 Sc 2.95-2.99
Sb 0.0000 0.0000 0.3313  4 Sc 2.93
Sb 0.0000 0.5000 0.1687  4 Sc 2.93
Sb 0.4996 0.6919 0.5000  5 Sc 2.95-2.99
Sb 0.4996 0.3081 0.5000  5 Sc 2.95-2.99
Sb 0.0000 0.5000 0.8313  4 Sc 2.93

## Properties
Calculated volume, Å³/f.u.: 278
Symmetry: No. 59
DFT total energy, eV for the cell shown: -118.483
Energy relative to the elements, uncorrected, eV per atom: -0.5160

KTa2Se after structural relaxation, computed with PBE.

Cell: 6.5999 6.5999 2.7723 Å, 90.00 90.00 129.06°
Closest atoms and distances in Å follow each position.
Positions (direct):
K 0.5000 0.0000 0.5000  2 K 2.77, 2 Se 2.84
Se 0.0000 0.5000 0.5000  2 Se 2.77, 2 K 2.84
Ta 0.0000 0.0000 0.0000  4 Ta 2.77-2.84
Ta 0.5000 0.5000 0.0000  4 Ta 2.77-2.84

## Properties
Calculated volume, Å³/f.u.: 94
Symmetry: No. 65
DFT total energy, eV for the cell shown: -23.653
Energy relative to the elements, uncorrected, eV per atom: 1.1586

Ac5CuS8 after structural relaxation, computed with PBE.

Cell: 7.7674 7.7674 7.7674 Å, 110.25 107.92 110.25°
Closest atoms and distances in Å follow each position.
Positions (direct):
Ac 0.0173 0.3836 0.1342  7 S 2.96-3.21
Ac 0.8658 0.8831 0.2494  7 S 2.96-3.21
Ac 0.7506 0.6164 0.6337  7 S 2.96-3.21
Ac 0.5000 0.0000 0.5000  8 S 2.98-3.22
Ac 0.3663 0.1169 0.9827  7 S 2.96-3.21
Cu 0.2500 0.5000 0.7500  4 S 2.80
S 0.1457 0.7430 0.0148  1 Cu 2.80, 2 Ac 2.96-3.07
S 0.9852 0.1308 0.7282  1 Cu 2.80, 2 Ac 2.96-3.07
S 0.7482 0.2376 0.3500  5 Ac 2.97-3.21
S 0.6500 0.3982 0.8877  5 Ac 2.97-3.21
S 0.4895 0.6018 0.2518  5 Ac 2.97-3.21
S 0.5973 0.8692 0.8543  1 Cu 2.80, 2 Ac 2.96-3.07
S 0.2718 0.2570 0.4027  1 Cu 2.80, 2 Ac 2.96-3.07
S 0.1123 0.7624 0.5105  5 Ac 2.97-3.21

## Properties
Calculated volume, Å³/f.u.: 361
Symmetry: No. 82
DFT total energy, eV for the cell shown: -83.763
Energy relative to the elements, uncorrected, eV per atom: -1.8646

KSmO2 after structural relaxation, computed with PBE.

Cell: 3.5671 3.5671 6.7646 Å, 74.71 74.71 60.00°
Closest atoms and distances in Å follow each position.
Positions (direct):
K 0.4962 0.4962 0.5115  6 O 2.81-2.96
Sm 0.6671 0.6671 0.9987  6 O 2.37-2.40
O 0.0640 0.0640 0.8079  3 Sm 2.40
O 0.2727 0.2727 0.1820  3 Sm 2.37

## Properties
Calculated volume, Å³/f.u.: 71
Symmetry: No. 160
DFT total energy, eV for the cell shown: -26.221
Energy relative to the elements, uncorrected, eV per atom: -2.6220

LiTaSi after structural relaxation, computed with PBE.

Cell: 3.9794 3.9794 3.0486 Å, 90.00 90.00 120.00°
Closest atoms and distances in Å follow each position.
Positions (direct):
Li 0.0000 0.0000 0.1660  3 Si 2.30
Si 0.6667 0.3333 0.1674  3 Li 2.30
Ta 0.3333 0.6667 0.6666  6 Si 2.76, 6 Li 2.76, 2 Ta 3.05

## Properties
Calculated volume, Å³/f.u.: 42
Symmetry: No. 187
DFT total energy, eV for the cell shown: -19.583
Energy relative to the elements, uncorrected, eV per atom: -0.1311

PaCuAgSe4 after structural relaxation, computed with PBE.

Cell: 8.2870 7.6517 7.6517 Å, 66.63 57.21 57.21°
Closest atoms and distances in Å follow each position.
Positions (direct):
Pa 0.0000 0.0000 0.0000  6 Se 2.77-2.83
Pa 0.0000 0.5000 0.5000  6 Se 2.77-2.83
Cu 0.7511 0.4989 0.9989  4 Se 2.42-2.68
Cu 0.2489 0.5011 0.0011  4 Se 2.42-2.68
Ag 0.5000 0.0000 0.5000  6 Se 2.76-2.92
Ag 0.0000 0.0000 0.5000  6 Se 2.76-2.92
Se 0.7173 0.8183 0.7471  1 Cu 2.42
Se 0.2827 0.7529 0.6817  1 Cu 2.42
Se 0.7173 0.2471 0.3183  1 Cu 2.42
Se 0.2827 0.1817 0.2529  1 Cu 2.42
Se 0.2713 0.7007 0.2007  1 Cu 2.68, 2 Pa 2.83, 1 Ag 2.92
Se 0.8274 0.7007 0.2007  1 Cu 2.68, 2 Pa 2.83, 1 Ag 2.92
Se 0.1726 0.2993 0.7993  1 Cu 2.68, 2 Pa 2.83, 1 Ag 2.92
Se 0.7287 0.2993 0.7993  1 Cu 2.68, 2 Pa 2.83, 1 Ag 2.92

## Properties
Calculated volume, Å³/f.u.: 170
Symmetry: No. 74
DFT total energy, eV for the cell shown: -70.230
Energy relative to the elements, uncorrected, eV per atom: -0.6762

LuHf2U after structural relaxation, computed with PBE.

Cell: 4.9853 4.9853 5.3069 Å, 61.98 61.98 60.00°
Closest atoms and distances in Å follow each position.
Positions (direct):
Hf 0.2719 0.2719 0.1842  3 U 2.99, 4 Lu 3.05-3.20, 3 Hf 3.31
Hf 0.7281 0.7281 0.8158  3 U 2.99, 4 Lu 3.05-3.20, 3 Hf 3.31
Lu 0.5000 0.5000 0.5000  8 Hf 3.05-3.20
U 0.0000 0.0000 0.0000  6 Hf 2.99

## Properties
Calculated volume, Å³/f.u.: 96
Symmetry: No. 166
DFT total energy, eV for the cell shown: -34.152

Ag4HgAu3 after structural relaxation, computed with PBE.

Cell: 4.8441 2.9604 13.0892 Å, 116.93 100.66 90.00°
Closest atoms and distances in Å follow each position.
Positions (direct):
Ag 0.6769 0.7075 0.3538  4 Ag 2.92-2.96, 6 Au 2.94-2.95
Ag 0.3231 0.2925 0.6462  4 Ag 2.92-2.96, 6 Au 2.94-2.95
Ag 0.8943 0.5774 0.7885  4 Au 2.83-2.84, 4 Ag 2.92-2.96
Ag 0.1057 0.4226 0.2115  4 Au 2.83-2.84, 4 Ag 2.92-2.96
Hg 0.5000 0.0000 0.0000  4 Au 2.84, 2 Hg 2.96
Au 0.0000 0.5000 0.0000  4 Ag 2.83, 4 Hg 2.84, 2 Au 2.96
Au 0.2119 0.3469 0.4238  8 Ag 2.84-2.95, 4 Au 2.96-2.98
Au 0.7881 0.6531 0.5762  8 Ag 2.84-2.95, 4 Au 2.96-2.98

## Properties
Calculated volume, Å³/f.u.: 164
Symmetry: No. 65
DFT total energy, eV for the cell shown: -20.989
Polymorph energy (0 for the lowest one), eV per atom: 0.087